Entry 1:
Material: Be2SbRu
Method: DFT, meta-GGA SCAN
State: single point on PBEsol structure

```
4
Lattice="3.127 0.000 0.000 0.000 3.127 0.000 0.000 0.000 5.353" Properties=species:S:1:pos:R:3 pbc="T T T"
Be 0.000 0.000 0.000
Be 1.564 1.564 1.017
Sb 1.564 1.564 3.791
Ru 0.000 0.000 2.209
```

Computed properties:
Uncorrected energy = -80.394 eV for the cell shown
Density = 7.64 g cm⁻³

***

Entry 2:
Material: CaNiPb2
Method: DFT, meta-GGA SCAN
State: single point on PBEsol structure

```
4
Lattice="0.000 3.599 3.599 3.599 0.000 3.599 3.599 3.599 0.000" Properties=species:S:1:pos:R:3 pbc="T T T"
Ca 0.000 0.000 0.000
Ni 1.800 1.800 1.800
Pb 3.599 3.599 3.599
Pb 5.399 5.399 5.399
```

Computed properties:
Density = 9.14 g cm⁻³
Calculated formation energy = 0.08 eV per atom

***

Entry 3:
Material: CrAuSN2
Method: DFT, meta-GGA SCAN
State: single point on PBEsol structure

```
5
Lattice="3.914 0.000 0.000 0.000 3.914 0.000 0.000 0.000 5.075" Properties=species:S:1:pos:R:3 pbc="T T T"
Cr 0.000 0.000 0.000
Au 1.957 1.957 2.538
S 1.957 1.957 0.000
N 0.000 1.957 2.538
N 1.957 0.000 2.538
```

Computed properties:
Uncorrected energy = -108.781 eV for the cell shown
Density = 6.60 g cm⁻³

***

Entry 4:
Material: NbOs2CO
Method: DFT, meta-GGA SCAN
State: single point on PBEsol structure

```
5
Lattice="4.782 0.000 0.000 0.000 4.782 0.000 0.000 0.000 4.003" Properties=species:S:1:pos:R:3 pbc="T T T"
Nb 0.000 0.000 0.000
Os 0.000 2.391 0.000
Os 2.391 0.000 0.000
C 0.000 0.000 2.001
O 2.391 2.391 2.001
```

Computed properties:
Uncorrected energy = -178.001 eV for the cell shown
Density = 9.09 g cm⁻³